Al9Fe2Si4O24 | SCAN | single point on PBEsol structure

a b c (Å): 5.6384 7.8363 9.1737
angles (deg): 64.72 89.72 89.35
Each line ends with the local moment (μB).
Atoms (fractional coordinates):
O1 0.4907 0.0954 0.3232  0.00
O2 0.7488 0.3791 0.1995  0.07
O3 0.2677 0.0873 0.8242  0.00
O4 0.0321 0.7411 0.0000  0.18
O5 0.7497 0.2279 0.5020  0.00
O6 0.9826 0.9069 0.6770  0.00
O7 0.9826 0.5840 0.3230  0.00
O8 0.2512 0.6209 0.8005  0.07
O9 0.2503 0.2701 0.5020  0.00
Al1 0.2366 0.6739 0.1743  0.01
O10 0.2503 0.7721 0.4980  0.00
Al2 0.0000 0.3240 0.3521  0.00
O11 0.7497 0.7299 0.4980  0.00
O12 0.2512 0.4214 0.1995  0.07
O13 0.5093 0.9046 0.6768  0.00
Si1 0.7424 0.7018 0.3293  0.00
Si2 0.2576 0.2982 0.6707  0.00
Al3 0.5000 0.3247 0.3506  0.00
Si3 0.2576 0.9690 0.3293  0.00
Al4 0.7634 0.1518 0.1743  0.01
Al5 0.7634 0.3261 0.8257  0.01
O14 0.7488 0.5786 0.8005  0.07
Fe1 0.2447 0.3825 0.0000  3.87
O15 0.0174 0.4160 0.6770  0.00
Fe2 0.7553 0.6175 0.0000  3.87
O16 0.4668 0.7670 0.0000  0.07
O17 0.7323 0.0885 0.8242  0.00
O18 0.9679 0.2589 0.0000  0.18
Al6 0.5000 0.0000 0.0000  0.00
O19 0.5332 0.2330 0.0000  0.07
O20 0.2677 0.9115 0.1758  0.00
Al7 0.5000 0.6753 0.6494  0.00
O21 0.5093 0.5814 0.3232  0.00
O22 0.0174 0.0931 0.3230  0.00
Al8 0.2366 0.8482 0.8257  0.01
O23 0.4907 0.4186 0.6768  0.00
Al9 0.0000 0.6760 0.6479  0.00
Si4 0.7424 0.0310 0.6707  0.00
O24 0.7323 0.9127 0.1758  0.00

* magnetization: 9.0 Bohr magnetons per cell
* space group: C2/m
* electronic total energy: -10.64 eV/atom
* V: 9.40 Å³ per atom



MnRh3 | SCAN | single point on PBEsol structure

a b c (Å): 2.6842 4.5477 4.5477
angles (deg): 108.80 90.00 90.00
Each line ends with the local moment (μB).
Atoms (fractional coordinates):
Mn1 0.0000 0.0000 0.0000  3.67
Rh1 0.5000 0.0000 0.5000  -0.05
Rh2 0.5000 0.5000 0.0000  -0.05
Rh3 0.0000 0.5000 0.5000  0.04

* magnetization: 3.7 Bohr magnetons per cell
* space group: Cmmm
* ΔE_f: -0.22 eV/atom
* V: 13.14 Å³ per atom



Hf2AlTe | SCAN | single point on PBEsol structure

a b c (Å): 4.1548 4.1548 10.6034
angles (deg): 101.30 101.30 90.00
Atoms (fractional coordinates):
Hf1 0.1250 0.1302 0.7500
Hf2 0.6250 0.6198 0.7500
Al1 0.7500 0.2500 0.5000
Hf3 0.3802 0.8750 0.2500
Te1 0.2500 0.7500 0.5000
Al2 0.5000 0.5000 0.0000
Te2 0.0000 0.0000 0.0000
Hf4 0.8698 0.3750 0.2500

* magnetization: 0.0 Bohr magnetons per cell
* space group: I-42d
* electronic total energy: -42.50 eV/atom
* V: 21.98 Å³ per atom



ZnAgHg2 | SCAN | single point on PBEsol structure

a b c (Å): 3.0377 4.6700 5.4004
angles (deg): 90.00 90.00 90.00
Atoms (fractional coordinates):
Ag1 0.0000 0.5000 0.5000
Zn1 0.5000 0.5000 0.0000
Hg1 0.0000 0.0000 0.0000
Hg2 0.5000 0.0000 0.5000

* magnetization: 0.0 Bohr magnetons per cell
* space group: Pmmm
* ΔE_f: 0.15 eV/atom
* V: 19.15 Å³ per atom



Be2FeReS | SCAN | single point on PBEsol structure

a b c (Å): 3.9126 3.9126 4.0452
angles (deg): 90.00 90.00 90.00
Each line ends with the local moment (μB).
Atoms (fractional coordinates):
Fe1 0.0000 0.0000 0.5000  2.38
Be1 0.0000 0.5000 0.0000  -0.01
Be2 0.5000 0.0000 0.0000  -0.01
S1 0.0000 0.0000 0.0000  0.06
Re1 0.5000 0.5000 0.5000  0.55

* magnetization: 3.0 Bohr magnetons per cell
* space group: P4/mmm
* electronic total energy: -20.58 eV/atom
* V: 12.38 Å³ per atom



InTc2Te | SCAN | single point on PBEsol structure

a b c (Å): 3.1417 4.2750 5.9880
angles (deg): 110.91 105.21 90.00
Atoms (fractional coordinates):
In1 0.2248 0.7248 0.4496
Tc1 0.7650 0.2650 0.5300
Te1 0.4664 0.4664 0.9327
Tc2 0.0438 0.0438 0.0876

* magnetization: 0.0 Bohr magnetons per cell
* space group: Imm2
* offset from the most stable computed form: 0.000 eV/atom
* V: 18.03 Å³ per atom



Repeat the second record exactly.
MnRh3 | SCAN | single point on PBEsol structure

a b c (Å): 2.6842 4.5477 4.5477
angles (deg): 108.80 90.00 90.00
Each line ends with the local moment (μB).
Atoms (fractional coordinates):
Mn1 0.0000 0.0000 0.0000  3.67
Rh1 0.5000 0.0000 0.5000  -0.05
Rh2 0.5000 0.5000 0.0000  -0.05
Rh3 0.0000 0.5000 0.5000  0.04

* magnetization: 3.7 Bohr magnetons per cell
* space group: Cmmm
* ΔE_f: -0.22 eV/atom
* V: 13.14 Å³ per atom